(1)
Compound: Tb2YCu4Sn4
Source: OQMD
Functional: PBE-GGA
Structure: relaxed

POSCAR file:
```
Tb2YCu4Sn4
1.0
-2.237 3.473 7.370
2.237 -3.473 7.370
2.237 3.473 -7.370
Tb Y Cu Sn
2 1 4 4
Cartesian
0.000 0.000 1.936 Tb
0.000 0.000 12.804 Tb
0.000 3.473 0.000 Y
2.237 2.170 -2.508 Cu
2.237 2.170 2.508 Cu
0.000 1.303 4.862 Cu
0.000 1.303 9.878 Cu
2.237 1.407 0.000 Sn
2.237 0.000 4.184 Sn
0.000 3.473 3.186 Sn
0.000 2.065 7.370 Sn
```

Total DFT energy (no corrections): -52.4 eV for the cell shown

=====

(2)
Compound: TbYCu2Sn
Source: OQMD
Functional: PBE-GGA
Structure: relaxed

POSCAR file:
```
TbYCu2Sn
1.0
3.619 0.000 0.000
0.000 4.234 0.000
0.000 0.000 13.820
Tb Y Cu Sn
2 2 4 2
Cartesian
0.000 0.000 0.000 Tb
0.000 2.117 6.910 Tb
0.000 0.000 3.605 Y
0.000 2.117 10.515 Y
1.810 0.000 5.930 Cu
1.810 0.000 11.506 Cu
1.810 2.117 4.596 Cu
1.810 2.117 12.840 Cu
1.810 0.000 8.723 Sn
1.810 2.117 1.813 Sn
```

Total DFT energy (no corrections): -49.8 eV for the cell shown

=====

(3)
Compound: TbY2Cu4Sn4
Source: OQMD
Functional: PBE-GGA
Structure: relaxed

POSCAR file:
```
TbY2Cu4Sn4
1.0
-2.235 3.473 7.363
2.235 -3.473 7.363
2.235 3.473 -7.363
Tb Y Cu Sn
1 2 4 4
Cartesian
0.000 0.000 0.000 Tb
2.235 0.000 5.429 Y
0.000 3.473 1.934 Y
2.235 1.303 -2.506 Cu
2.235 1.303 2.506 Cu
0.000 2.170 4.857 Cu
0.000 2.170 9.869 Cu
0.000 0.000 3.183 Sn
2.235 2.066 0.000 Sn
0.000 1.407 7.363 Sn
0.000 0.000 11.543 Sn
```

Total DFT energy (no corrections): -54.2 eV for the cell shown

=====

(4)
Compound: CuTcSn
Source: OQMD
Functional: PBE-GGA
Structure: relaxed

POSCAR file:
```
CuTcSn
1.0
5.963 0.000 0.000
0.000 5.963 0.000
0.000 0.000 5.963
Cu Tc Sn
4 4 4
Cartesian
0.000 0.000 0.000 Cu
0.000 2.982 2.982 Cu
2.982 0.000 2.982 Cu
2.982 2.982 0.000 Cu
1.491 1.491 1.491 Tc
1.491 4.472 4.472 Tc
4.472 1.491 4.472 Tc
4.472 4.472 1.491 Tc
1.491 1.491 4.472 Sn
1.491 4.472 1.491 Sn
4.472 1.491 1.491 Sn
4.472 4.472 4.472 Sn
```

E above lowest polymorph: 0.000 eV/atom

=====

(5)
Compound: Cu2TcSn
Source: OQMD
Functional: PBE-GGA
Structure: relaxed

POSCAR file:
```
Cu2TcSn
1.0
6.206 0.000 0.000
0.000 6.206 0.000
0.000 0.000 6.206
Cu Tc Sn
8 4 4
Cartesian
0.000 0.000 0.000 Cu
0.000 3.103 3.103 Cu
1.551 1.551 1.551 Cu
1.551 4.654 4.654 Cu
3.103 0.000 3.103 Cu
3.103 3.103 0.000 Cu
4.654 1.551 4.654 Cu
4.654 4.654 1.551 Cu
1.551 1.551 4.654 Tc
1.551 4.654 1.551 Tc
4.654 1.551 1.551 Tc
4.654 4.654 4.654 Tc
0.000 0.000 3.103 Sn
0.000 3.103 0.000 Sn
3.103 0.000 0.000 Sn
3.103 3.103 3.103 Sn
```

Total DFT energy (no corrections): -83.3 eV for the cell shown

=====

(6)
Compound: ZnCuTcSn
Source: OQMD
Functional: PBE-GGA
Structure: relaxed

POSCAR file:
```
ZnCuTcSn
1.0
6.289 0.000 0.000
0.000 6.289 0.000
0.000 0.000 6.289
Zn Cu Tc Sn
4 4 4 4
Cartesian
0.000 0.000 0.000 Zn
0.000 3.144 3.144 Zn
3.144 0.000 3.144 Zn
3.144 3.144 0.000 Zn
0.000 0.000 3.144 Cu
0.000 3.144 0.000 Cu
3.144 0.000 0.000 Cu
3.144 3.144 3.144 Cu
1.572 1.572 4.717 Tc
1.572 4.717 1.572 Tc
4.717 1.572 1.572 Tc
4.717 4.717 4.717 Tc
1.572 1.572 1.572 Sn
1.572 4.717 4.717 Sn
4.717 1.572 4.717 Sn
4.717 4.717 1.572 Sn
```

E above lowest polymorph: 0.214 eV/atom

=====

The records above give, respectively, total magnetization values of 0.0; 0.0; 0.0; 1.1; 0.0; 0.0 μB/f.u..